1.
The following is a DFT calculation (PBE) of TeAu2Se after structural relaxation.

- theoretical density (g cm⁻³) = 9.33
- DOS(E_F) (states/eV/f.u.) = 2.5
- offset from the most stable computed form (meV per atom) = 209
- E_form (uncorrected) (eV/atom) = 0.2026

Lattice parameters (Å, degrees): 3.8824 3.8824 7.7080 90.00 90.00 113.11
Last column: nearest neighbours and their distance in Å.
Positions (direct):
Te  0.0000  0.0000  0.0000  2 Au 2.67
Au  0.0000  0.0000  0.5713  2 Se 2.50, 2 Au 2.73
Au  0.5000  0.5000  0.7921  2 Te 2.67, 2 Au 2.73, 1 Se 2.99
Se  0.5000  0.5000  0.4040  2 Au 2.50

2.
The following is a DFT calculation (PBE) of TeAu2Se after structural relaxation.

- theoretical density (g cm⁻³) = 8.76
- DOS(E_F) (states/eV/f.u.) = 3.3
- offset from the most stable computed form (meV per atom) = 51
- E_form (uncorrected) (eV/atom) = 0.0441

Lattice parameters (Å, degrees): 7.5006 7.5006 7.5006 132.13 132.13 70.02
Last column: nearest neighbours and their distance in Å.
Positions (direct):
Te  0.0000  0.0000  0.0000  4 Au 2.71
Te  0.7500  0.2500  0.5000  4 Au 2.71
Au  0.1429  0.6250  0.0179  2 Se 2.58, 2 Te 2.71
Au  0.3750  0.3929  0.5179  2 Se 2.58, 2 Te 2.71
Au  0.6071  0.1250  0.9821  2 Se 2.58, 2 Te 2.71
Au  0.8750  0.8571  0.4821  2 Se 2.58, 2 Te 2.71
Se  0.2500  0.7500  0.5000  4 Au 2.58
Se  0.5000  0.5000  0.0000  4 Au 2.58

3.
The following is a DFT calculation (PBE) of TeAu2Se after structural relaxation.

- theoretical density (g cm⁻³) = 11.55
- DOS(E_F) (states/eV/f.u.) = 3.8
- offset from the most stable computed form (meV per atom) = 461
- E_form (uncorrected) (eV/atom) = 0.4548

Lattice parameters (Å, degrees): 4.9609 4.9609 4.9609 60.00 60.00 60.00
Last column: nearest neighbours and their distance in Å.
Positions (direct):
Te  0.0000  0.0000  0.0000  8 Au 3.04
Au  0.2500  0.2500  0.2500  4 Se 3.04, 4 Te 3.04
Au  0.7500  0.7500  0.7500  4 Se 3.04, 4 Te 3.04
Se  0.5000  0.5000  0.5000  8 Au 3.04

4.
The following is a DFT calculation (PBE) of Te2AuSe after structural relaxation.

- theoretical density (g cm⁻³) = 9.39
- DOS(E_F) (states/eV/f.u.) = 3.1
- offset from the most stable computed form (meV per atom) = 394
- E_form (uncorrected) (eV/atom) = 0.3790

Lattice parameters (Å, degrees): 5.1022 5.1022 5.1022 60.00 60.00 60.00
Last column: nearest neighbours and their distance in Å.
Positions (direct):
Te  0.2500  0.2500  0.2500  4 Se 3.12, 4 Au 3.12
Te  0.7500  0.7500  0.7500  4 Se 3.12, 4 Au 3.12
Au  0.0000  0.0000  0.0000  8 Te 3.12
Se  0.5000  0.5000  0.5000  8 Te 3.12

5.
The following is a DFT calculation (PBE) of Te3Au2Se after structural relaxation.

- theoretical density (g cm⁻³) = 9.04
- DOS(E_F) (states/eV/f.u.) = 2.3
- E_form (uncorrected) (eV/atom) = -0.0510

Lattice parameters (Å, degrees): 6.6211 6.7109 8.5016 68.83 71.04 65.82
Last column: nearest neighbours and their distance in Å.
Positions (direct):
Te  0.0586  0.2158  0.0463  3 Au 2.77-2.92
Te  0.0969  0.2179  0.5188  1 Se 2.71, 2 Au 2.78-2.87
Te  0.4365  0.2764  0.7092  3 Au 2.78-2.92
Te  0.5635  0.7236  0.2908  3 Au 2.78-2.92
Te  0.9031  0.7821  0.4812  1 Se 2.71, 2 Au 2.78-2.87
Te  0.9414  0.7842  0.9537  3 Au 2.77-2.92
Au  0.2473  0.7471  0.1289  1 Se 2.65, 3 Te 2.77-2.78
Au  0.2563  0.7466  0.6254  1 Se 2.77, 5 Te 2.78-2.92
Au  0.7437  0.2534  0.3746  1 Se 2.77, 5 Te 2.78-2.92
Au  0.7527  0.2529  0.8711  1 Se 2.65, 3 Te 2.77-2.78
Se  0.4067  0.2989  0.2251  2 Au 2.65-2.77, 1 Te 2.71
Se  0.5933  0.7011  0.7749  2 Au 2.65-2.77, 1 Te 2.71

6.
The following is a DFT calculation (PBE) of TeAu3Se after structural relaxation.

- theoretical density (g cm⁻³) = 9.15
- DOS(E_F) (states/eV/f.u.) = 4.3
- offset from the most stable computed form (meV per atom) = 168
- E_form (uncorrected) (eV/atom) = 0.6750

Lattice parameters (Å, degrees): 5.2512 5.2512 5.2512 90.00 90.00 90.00
Last column: nearest neighbours and their distance in Å.
Positions (direct):
Te  0.0000  0.0000  0.0000  6 Au 2.63
Au  0.0000  0.0000  0.5000  2 Te 2.63
Au  0.0000  0.5000  0.0000  2 Te 2.63
Au  0.5000  0.0000  0.0000  2 Te 2.63
Se  0.5000  0.5000  0.5000  12 Au 3.71